Material: Ti3InO
Method: DFT, PBE
State: relaxed

VASP energy (eV per atom): -7.3791
E_form (uncorrected) (eV per atom): -1.103

Cell: 10.8963 7.7319 7.7319 Å, 77.92 123.55 56.45°
With the nearest neighbours (Å) after each atom.
Positions (direct):
Ti  0.4128  0.3943  0.4774  3 O 2.13-2.15
Ti  0.0872  0.9774  0.8943  3 O 2.13-2.15
Ti  0.5872  0.6057  0.5226  3 O 2.13-2.15
Ti  0.9128  0.0226  0.1057  3 O 2.13-2.15
Ti  0.0917  0.2221  0.1548  2 O 2.13
Ti  0.4083  0.6548  0.7221  2 O 2.13
Ti  0.9083  0.7779  0.8452  2 O 2.13
Ti  0.5917  0.3452  0.2779  2 O 2.13
Ti  0.5720  0.8654  0.7464  1 O 2.13
Ti  0.9280  0.2464  0.3654  1 O 2.13
Ti  0.4280  0.1346  0.2536  1 O 2.13
Ti  0.0720  0.7536  0.6346  1 O 2.13
O  0.7500  0.1887  0.6887  6 Ti 2.13-2.15
O  0.2500  0.8113  0.3113  6 Ti 2.13-2.15
O  0.7500  0.4387  0.9387  6 Ti 2.13-2.14
O  0.2500  0.5613  0.0613  6 Ti 2.13-2.14
In  0.0616  0.5042  0.3591  8 Ti 2.88-3.16, 3 In 3.07-3.13
In  0.4384  0.8591  0.0042  8 Ti 2.88-3.16, 3 In 3.07-3.13
In  0.9384  0.4958  0.6409  8 Ti 2.88-3.16, 3 In 3.07-3.13
In  0.5616  0.1409  0.9958  8 Ti 2.88-3.16, 3 In 3.07-3.13

Material: Ti3InO
Method: DFT, PBE
State: relaxed

VASP energy (eV per atom): -7.3633
E_form (uncorrected) (eV per atom): -1.087

Cell: 3.9322 5.4423 8.5034 Å, 68.17 90.00 111.18°
With the nearest neighbours (Å) after each atom.
Positions (direct):
Ti  0.1345  0.2689  0.0491  2 O 2.05-2.14
Ti  0.8655  0.7311  0.9509  2 O 2.05-2.14
Ti  0.6475  0.2949  0.7986  2 O 2.05
Ti  0.3525  0.7051  0.2014  2 O 2.05
Ti  0.8598  0.7197  0.4405  1 O 2.11
Ti  0.1402  0.2803  0.5595  1 O 2.11
In  0.3888  0.7777  0.6850  1 O 2.82, 11 Ti 2.93-3.14, 1 In 3.05
In  0.6112  0.2223  0.3150  1 O 2.82, 11 Ti 2.93-3.14, 1 In 3.05
O  0.0855  0.1710  0.8260  5 Ti 2.05-2.14
O  0.9145  0.8290  0.1740  5 Ti 2.05-2.14

Material: Ti3InO
Method: DFT, PBE
State: relaxed

VASP energy (eV per atom): -7.4070
E_form (uncorrected) (eV per atom): -1.131

Cell: 19.5381 9.2714 9.2714 Å, 154.76 162.49 17.51°
With the nearest neighbours (Å) after each atom.
Positions (direct):
Ti  0.1868  0.8763  0.1237  1 O 2.11
Ti  0.8132  0.1237  0.8763  1 O 2.11
Ti  0.9480  0.3545  0.6455  3 O 2.04-2.11
Ti  0.0520  0.6455  0.3545  3 O 2.04-2.11
Ti  0.5595  0.6306  0.3694  2 O 2.14
Ti  0.4405  0.3694  0.6306  2 O 2.14
O  0.9333  0.8838  0.1162  6 Ti 2.04-2.14
O  0.0667  0.1162  0.8838  6 Ti 2.04-2.14
In  0.6833  0.8830  0.1170  10 Ti 2.94-3.14, 2 In 3.16-3.17
In  0.3167  0.1170  0.8830  10 Ti 2.94-3.14, 2 In 3.16-3.17

Material: Ti3InO
Method: DFT, PBE
State: relaxed

VASP energy (eV per atom): -7.1567
E_form (uncorrected) (eV per atom): -0.880

Cell: 3.3199 3.3199 18.0163 Å, 90.00 90.00 120.00°
With the nearest neighbours (Å) after each atom.
Positions (direct):
Ti  0.0000  0.0000  0.2500  3 O 1.92
Ti  0.0000  0.0000  0.7500  3 O 1.92
Ti  0.3333  0.6667  0.8693  1 O 2.15
Ti  0.3333  0.6667  0.6307  1 O 2.15
Ti  0.6667  0.3333  0.3693  1 O 2.15
Ti  0.6667  0.3333  0.1307  1 O 2.15
O  0.3333  0.6667  0.7500  3 Ti 1.92
O  0.6667  0.3333  0.2500  3 Ti 1.92
In  0.0000  0.0000  0.0000  6 Ti 3.04, 6 In 3.32
In  0.0000  0.0000  0.5000  6 Ti 3.04, 6 In 3.32